No. 1
A plane-wave DFT calculation with PBE-GGA was carried out for a relaxed structure of TaFe2Ir.

The space group is I-4m2 (No. 119) and the conventional cell measures 3.777, 3.777 and 7.800 Å, with angles of 90.00, 90.00 and 90.00 degrees. Symmetry generates all atoms from Ta at (0.000, 0.000, 0.000), Fe at (0.000, 0.000, 0.500), Fe at (0.000, 0.500, 0.250) and Ir at (0.000, 0.500, 0.750).

The value obtained for the offset from the most stable computed form is 46 meV/atom. The total magnetization comes out at 8.01 Bohr magnetons per cell.

No. 2
A plane-wave DFT calculation with PBE-GGA was carried out for a relaxed structure of Dy2SiBi.

The space group is R-3m (No. 166, hexagonal axes) and the conventional cell measures 4.1452, 4.1452 and 22.5354 Å, with angles of 90.00, 90.00 and 120.00 degrees. Symmetry generates all atoms from Dy at (0.0000, 0.0000, 0.2385), Si at (0.0000, 0.0000, 0.5000) and Bi at (0.0000, 0.0000, 0.0000).

The uncorrected formation energy comes out at -0.669 eV/atom. The total magnetization comes out at 0.00 Bohr magnetons per cell.

No. 3
A plane-wave DFT calculation with PBE-GGA was carried out for a relaxed structure of Pm6TmSn4.

The space group is I-42m (No. 121) and the conventional cell measures 7.956, 7.956 and 12.068 Å, with angles of 90.00, 90.00 and 90.00 degrees. Symmetry generates all atoms from Pm at (0.000, 0.500, 0.000), Pm at (0.161, 0.161, 0.164), Tm at (0.000, 0.000, 0.500) and Sn at (0.231, 0.231, 0.901).

The total magnetization comes out at 0.00 Bohr magnetons per cell. For the final energy, the calculation gives -4.795 eV/atom.

No. 4
A plane-wave DFT calculation with PBE-GGA was carried out for a relaxed structure of Tb3ErS4.

The space group is Cmmm (No. 65) and the conventional cell measures 7.883, 11.069 and 3.879 Å, with angles of 90.00, 90.00 and 90.00 degrees. Symmetry generates all atoms from Tb at (0.000, 0.000, 0.000), Tb at (0.250, 0.250, 0.500), Er at (0.000, 0.500, 0.000), S at (0.000, 0.252, 0.000) and S at (0.246, 0.500, 0.500).

The uncorrected formation energy comes out at -1.994 eV/atom. The value obtained for the offset from the most stable computed form is 0 meV/atom. The total magnetization comes out at 0.00 Bohr magnetons per cell.

No. 5
A plane-wave DFT calculation with PBE-GGA was carried out for a relaxed structure of Tm2Co12Ge7.

The space group is P-6 (No. 174) and the conventional cell measures 9.3179, 9.3179 and 3.7361 Å, with angles of 90.00, 90.00 and 120.00 degrees. Symmetry generates all atoms from Tm at (0.0000, 0.0000, 0.0000), Tm at (0.3333, 0.6667, 0.5000), Co at (0.0450, 0.2820, 0.5000), Co at (0.1065, 0.7199, 0.0000), Co at (0.3857, 0.1806, 0.0000), Co at (0.5515, 0.4343, 0.5000), Ge at (0.0665, 0.4527, 0.0000), Ge at (0.2625, 0.2237, 0.5000) and Ge at (0.6667, 0.3333, 0.0000).

The total magnetization comes out at 2.45 Bohr magnetons per cell. For the final energy, the calculation gives -6.366 eV/atom.

No. 6
A plane-wave DFT calculation with PBE-GGA was carried out for a relaxed structure of RbOsPt2.

The space group is Fm-3m (No. 225) and the conventional cell measures 6.761, 6.761 and 6.761 Å, with angles of 90.00, 90.00 and 90.00 degrees. Symmetry generates all atoms from Rb at (0.000, 0.000, 0.000), Os at (0.000, 0.000, 0.500) and Pt at (0.250, 0.250, 0.250).

The value obtained for the offset from the most stable computed form is 491 meV/atom. The total magnetization comes out at 10.75 Bohr magnetons per cell.

No. 7
A plane-wave DFT calculation with PBE-GGA was carried out for a relaxed structure of VInI3.

The space group is Pm-3m (No. 221) and the conventional cell measures 5.968, 5.968 and 5.968 Å, with angles of 90.00, 90.00 and 90.00 degrees. Symmetry generates all atoms from V at (0.000, 0.000, 0.000), In at (0.500, 0.500, 0.500) and I at (0.000, 0.500, 0.500).

The uncorrected formation energy comes out at 0.459 eV/atom. The value obtained for the offset from the most stable computed form is 733 meV/atom. The total magnetization comes out at 3.97 Bohr magnetons per cell.

No. 8
A plane-wave DFT calculation with PBE-GGA was carried out for a relaxed structure of Ag3Br4.

The space group is P-43m (No. 215) and the conventional cell measures 6.084, 6.084 and 6.084 Å, with angles of 90.00, 90.00 and 90.00 degrees. Symmetry generates all atoms from Ag at (0.000, 0.000, 0.500) and Br at (0.260, 0.260, 0.260).

The uncorrected formation energy comes out at -0.267 eV/atom. The value obtained for the offset from the most stable computed form is 11 meV/atom. The total magnetization comes out at 0.00 Bohr magnetons per cell.

No. 9
A plane-wave DFT calculation with PBE-GGA was carried out for a relaxed structure of HfNpTcOs.

The space group is F-43m (No. 216) and the conventional cell measures 6.634, 6.634 and 6.634 Å, with angles of 90.00, 90.00 and 90.00 degrees. Symmetry generates all atoms from Hf at (0.000, 0.000, 0.000), Np at (0.000, 0.000, 0.500), Tc at (0.250, 0.250, 0.750) and Os at (0.250, 0.250, 0.250).

The total magnetization comes out at 11.92 Bohr magnetons per cell. For the final energy, the calculation gives -11.304 eV/atom.

No. 10
A plane-wave DFT calculation with PBE-GGA was carried out for a relaxed structure of NaGaSe2.

The space group is Pnma (No. 62) and the conventional cell measures 8.593, 3.979 and 15.303 Å, with angles of 90.00, 90.00 and 90.00 degrees. Symmetry generates all atoms from Na at (0.231, 0.250, 0.235), Ga at (0.038, 0.750, 0.414), Se at (0.016, 0.250, 0.734) and Se at (0.184, 0.250, 0.477).

The uncorrected formation energy comes out at -0.805 eV/atom. The total magnetization comes out at 0.00 Bohr magnetons per cell.

No. 11
A plane-wave DFT calculation with PBE-GGA was carried out for a relaxed structure of Ac6Ru2I3Br.

The space group is C2/m (No. 12) and the conventional cell measures 7.779, 13.462 and 9.036 Å, with angles of 90.00, 106.50 and 90.00 degrees. Symmetry generates all atoms from Ac at (0.194, 0.000, 0.189), Ac at (0.249, 0.315, 0.191), Ru at (0.000, 0.167, 0.000), I at (0.000, 0.000, 0.500), I at (0.000, 0.338, 0.500) and Br at (0.000, 0.500, 0.000).

The uncorrected formation energy comes out at -0.893 eV/atom. The total magnetization comes out at 0.00 Bohr magnetons per cell.

No. 12
A plane-wave DFT calculation with PBE-GGA was carried out for a relaxed structure of SrSi2P.

The space group is C2/m (No. 12) and the conventional cell measures 9.031, 3.533 and 5.515 Å, with angles of 90.00, 107.00 and 90.00 degrees. Symmetry generates all atoms from Sr at (0.000, 0.000, 0.000), Si at (0.221, 0.000, 0.634) and P at (0.000, 0.500, 0.500).

The uncorrected formation energy comes out at -0.168 eV/atom. The total magnetization comes out at 0.00 Bohr magnetons per cell.

Question: Which formula does entry 7 have?
Answer: VInI3

Question: Which formula does entry 10 have?
Answer: NaGaSe2

Question: The highest total magnetization belongs to which entry?
Answer: HfNpTcOs